1.
Material: Rb3Li3CoCl8
Method: DFT, PBE
State: optimized geometry

Cell and atoms, written as POSCAR:
```
Rb3Li3CoCl8
1.0
6.796 -3.918 0.000
6.796 3.918 0.000
-4.528 0.000 7.388
Rb Li Co Cl
3 3 1 8
Cartesian
0.000 0.000 0.000
3.398 1.959 0.000
3.398 -1.959 0.000
1.134 1.959 3.694
1.134 -1.959 3.694
4.533 0.000 3.694
-2.264 0.000 3.694
-0.141 0.000 5.023
3.474 2.080 5.026
5.592 2.080 2.362
2.263 0.000 2.307
6.802 0.000 5.081
3.474 -2.080 5.026
5.592 -2.080 2.362
9.206 0.000 2.365
```

---

2.
Material: RbLiCoCl4
Method: DFT, PBE
State: optimized geometry

Cell and atoms, written as POSCAR:
```
RbLiCoCl4
1.0
5.966 0.000 0.000
0.000 7.109 0.000
-2.440 0.000 8.887
Rb Li Co Cl
2 2 2 8
Cartesian
0.521 1.777 3.421
3.006 5.332 5.466
-0.193 5.332 8.870
3.720 1.777 0.017
-1.173 1.777 7.105
4.700 5.332 1.782
0.114 1.777 0.130
-0.031 5.332 3.652
0.311 0.048 7.131
0.311 3.506 7.131
3.216 3.602 1.756
3.216 7.061 1.756
3.557 1.777 5.235
3.412 5.332 8.757
```

---

3.
Material: Rb3LiCo2Cl8
Method: DFT, PBE
State: optimized geometry

Cell and atoms, written as POSCAR:
```
Rb3LiCo2Cl8
1.0
7.173 0.000 0.000
-3.586 6.212 0.000
0.000 0.000 9.202
Rb Li Co Cl
3 1 2 8
Cartesian
0.000 0.000 0.000
0.000 4.141 5.882
3.586 2.071 3.320
0.000 0.000 4.601
0.000 4.141 2.091
3.586 2.071 7.110
0.000 2.048 2.975
-1.813 5.188 2.975
1.774 1.024 6.227
0.000 4.141 9.085
3.586 2.071 0.117
1.813 5.188 2.975
5.399 1.024 6.227
3.586 4.163 6.227
```

---

Calculated values (eV for the cell shown) of VASP energy for the records, taken in order: -53.627 -53.091 -52.726.